[1]
VASP calculation (PBE) on a relaxed Rb4DyY3Se8 crystal.

Properties
Raw formation energy = -1.746 eV/atom
Spin magnetization = 0.00 μB/cell
DOS at the Fermi energy = 0.000 states/eV per cell

Cell lengths 9.3754, 9.3754, 9.3754 Å; angles 53.83, 53.83, 53.83 degrees
Fractional positions:
Rb 0.0000 0.0000 0.0000
Rb 0.0000 0.5000 0.5000
Rb 0.5000 0.0000 0.5000
Rb 0.5000 0.5000 0.0000
Dy 0.5000 0.5000 0.5000
Y 0.0000 0.0000 0.5000
Y 0.0000 0.5000 0.0000
Y 0.5000 0.0000 0.0000
Se 0.2320 0.2320 0.2320
Se 0.2324 0.7317 0.7317
Se 0.2683 0.2683 0.7676
Se 0.2683 0.7676 0.2683
Se 0.7317 0.2324 0.7317
Se 0.7317 0.7317 0.2324
Se 0.7676 0.2683 0.2683
Se 0.7680 0.7680 0.7680

=====

[2]
VASP calculation (PBE) on a relaxed Tl4SnSe6 crystal.

Properties
Raw formation energy = -0.305 eV/atom
Spin magnetization = 0.00 μB/cell

Cell lengths 8.0770, 8.0770, 13.3498 Å; angles 104.58, 104.58, 69.89 degrees
Fractional positions:
Tl 0.0628 0.9372 0.5000
Tl 0.3840 0.5661 0.2138
Tl 0.3867 0.9521 0.8587
Tl 0.5661 0.3840 0.7138
Tl 0.7327 0.8917 0.1857
Tl 0.8917 0.7327 0.6857
Tl 0.9372 0.0628 0.0000
Tl 0.9521 0.3867 0.3587
Sn 0.5284 0.9844 0.4496
Sn 0.9844 0.5284 0.9496
Se 0.0303 0.7199 0.3082
Se 0.1709 0.2594 0.0404
Se 0.1876 0.7330 0.0062
Se 0.2005 0.7194 0.6405
Se 0.2594 0.1709 0.5404
Se 0.4163 0.9596 0.2504
Se 0.6536 0.6727 0.5005
Se 0.6727 0.6536 0.0005
Se 0.7194 0.2005 0.1406
Se 0.7199 0.0303 0.8082
Se 0.7330 0.1876 0.5062
Se 0.9596 0.4163 0.7504

=====

[3]
VASP calculation (PBE) on a relaxed AcMgGe crystal.

Properties
Spin magnetization = 1.33 μB/cell
Distance to the lowest polymorph of the same formula = 0.0129 eV/atom
Formation enthalpy at 0 K = -0.54 eV per atom
DOS at the Fermi energy = 2.530 states/eV per cell

Cell lengths 4.5075, 4.5075, 7.9928 Å; angles 90.00, 90.00, 90.00 degrees
Fractional positions:
Ac 0.2500 0.2500 0.1527
Ac 0.7500 0.7500 0.8473
Mg 0.2500 0.7500 0.5000
Mg 0.7500 0.2500 0.5000
Ge 0.2500 0.2500 0.7183
Ge 0.7500 0.7500 0.2817

=====

[4]
VASP calculation (PBE) on a relaxed TiInCu crystal.

Properties
Spin magnetization = 3.66 μB/cell
Formation enthalpy at 0 K = 0.01 eV per atom
DOS at the Fermi energy = 9.528 states/eV per cell

Cell lengths 5.8896, 3.9983, 8.8221 Å; angles 90.00, 90.00, 90.00 degrees
Fractional positions:
Ti 0.1153 0.2500 0.0787
Ti 0.3847 0.7500 0.5787
Ti 0.6153 0.2500 0.4213
Ti 0.8847 0.7500 0.9213
In 0.1304 0.2500 0.4041
In 0.3696 0.7500 0.9041
In 0.6304 0.2500 0.0959
In 0.8696 0.7500 0.5959
Cu 0.1086 0.2500 0.7558
Cu 0.3914 0.7500 0.2558
Cu 0.6086 0.2500 0.7442
Cu 0.8914 0.7500 0.2442

=====

[5]
VASP calculation (PBE) on a relaxed LiIr2W2 crystal.

Properties
Spin magnetization = 0.00 μB/cell
Formation enthalpy at 0 K = -0.03 eV per atom
DOS at the Fermi energy = 6.444 states/eV per cell

Cell lengths 7.7965, 7.7965, 2.7485 Å; angles 90.00, 90.00, 90.00 degrees
Fractional positions:
Li 0.0000 0.0000 0.0000
Li 0.5000 0.5000 0.0000
Ir 0.1702 0.3298 0.5000
Ir 0.3298 0.8298 0.5000
Ir 0.6702 0.1702 0.5000
Ir 0.8298 0.6702 0.5000
W 0.1204 0.6204 0.0000
W 0.3796 0.1204 0.0000
W 0.6204 0.8796 0.0000
W 0.8796 0.3796 0.0000

=====

[6]
VASP calculation (PBE) on a relaxed SrPm2PtO5 crystal.

Properties
Raw formation energy = -2.592 eV/atom
Spin magnetization = 0.00 μB/cell
DOS at the Fermi energy = 0.000 states/eV per cell

Cell lengths 6.7169, 6.7169, 5.9162 Å; angles 90.00, 90.00, 90.00 degrees
Fractional positions:
Sr 0.0000 0.0000 0.0000
Sr 0.5000 0.5000 0.0000
Pm 0.1738 0.3262 0.5000
Pm 0.3262 0.8262 0.5000
Pm 0.6738 0.1738 0.5000
Pm 0.8262 0.6738 0.5000
Pt 0.0000 0.5000 0.0000
Pt 0.5000 0.0000 0.0000
O 0.0000 0.0000 0.5000
O 0.1432 0.6432 0.2516
O 0.1432 0.6432 0.7484
O 0.3568 0.1432 0.2516
O 0.3568 0.1432 0.7484
O 0.5000 0.5000 0.5000
O 0.6432 0.8568 0.2516
O 0.6432 0.8568 0.7484
O 0.8568 0.3568 0.2516
O 0.8568 0.3568 0.7484

=====

no.,calculated volume (Å³/cell)
1,498.7
2,778.3
3,162.4
4,207.7
5,167.1
6,266.9